(1)
Entry from the Alexandria database: crystalline ErSc2Tl at its relaxed geometry (GGA-PBE).

Structure (POSCAR):
```
ErSc2Tl
1.0
-0.836 -1.276 -3.087
0.164 -3.194 1.276
-8.353 0.407 2.093
Sc Er Tl
2 1 1
Direct
0.000 0.000 0.770
0.000 0.000 0.230
0.500 0.500 0.500
0.500 0.500 0.000
```

## Properties
Space group: P4/mmm, No. 123
Energy relative to the elements in eV/atom: -0.133

=====

(2)
Entry from the Alexandria database: crystalline Er5ScTl2 at its relaxed geometry (GGA-PBE).

Structure (POSCAR):
```
Er5ScTl2
1.0
3.480 0.000 0.000
1.740 8.166 -0.456
1.740 2.022 7.925
Er Tl Sc
5 2 1
Direct
0.000 0.500 0.500
0.369 0.395 0.866
0.369 0.866 0.395
0.631 0.605 0.134
0.631 0.134 0.605
0.258 0.242 0.242
0.742 0.758 0.758
0.000 0.000 0.000
```

## Properties
Space group: Immm, No. 71
Energy relative to the elements in eV/atom: -0.058

=====

(3)
Entry from the Alexandria database: crystalline Er2Sc2Tl7 at its relaxed geometry (GGA-PBE).

Structure (POSCAR):
```
Er2Sc2Tl7
1.0
6.543 -0.002 -1.414
0.004 8.181 0.003
-1.819 -0.002 6.443
Er Tl Sc
2 7 2
Direct
0.248 0.500 0.248
0.752 0.500 0.752
0.500 0.693 0.000
0.000 0.693 0.500
0.000 0.307 0.500
0.000 0.000 0.000
0.500 0.186 0.500
0.500 0.307 0.000
0.500 0.814 0.500
0.266 0.000 0.734
0.734 0.000 0.266
```

## Properties
Space group: Cmmm, No. 65
Energy relative to the elements in eV/atom: 0.069

=====

(4)
Entry from the Alexandria database: crystalline ErSc4Tl at its relaxed geometry (GGA-PBE).

Structure (POSCAR):
```
ErSc4Tl
1.0
-2.308 4.021 -1.714
-5.863 0.345 1.577
-1.703 4.070 4.714
Sc Er Tl
4 1 1
Direct
0.696 0.445 0.163
0.304 0.555 0.837
0.653 0.003 0.690
0.347 0.997 0.310
0.000 0.500 0.500
0.000 0.000 0.000
```

## Properties
Space group: C2/m, No. 12
Energy relative to the elements in eV/atom: -0.083

=====

(5)
Entry from the Alexandria database: crystalline Er8Sc2Tl at its relaxed geometry (GGA-PBE).

Structure (POSCAR):
```
Er8Sc2Tl
1.0
4.855 0.000 0.000
0.000 7.711 0.391
-2.427 -2.830 8.248
Sc Er Tl
2 8 1
Direct
0.224 0.634 0.448
0.776 0.366 0.552
0.682 0.913 0.365
0.318 0.087 0.635
0.138 0.186 0.276
0.862 0.814 0.724
0.046 0.723 0.093
0.954 0.277 0.907
0.594 0.449 0.189
0.406 0.551 0.811
0.500 0.000 0.000
```

## Properties
Space group: C2/m, No. 12
Energy relative to the elements in eV/atom: -0.027

=====

(6)
Entry from the Alexandria database: crystalline ErSc2Tl at its relaxed geometry (GGA-PBE).

Structure (POSCAR):
```
ErSc2Tl
1.0
4.443 0.000 0.000
-2.221 5.887 0.000
0.000 0.000 8.090
Sc Er Tl
4 2 2
Direct
0.369 0.738 0.552
0.369 0.738 0.948
0.631 0.262 0.052
0.631 0.262 0.448
0.057 0.114 0.750
0.943 0.886 0.250
0.228 0.456 0.250
0.772 0.544 0.750
```

## Properties
Space group: Cmcm, No. 63
Energy relative to the elements in eV/atom: -0.092

=====

(7)
Entry from the Alexandria database: crystalline Er5Sc2Tl4 at its relaxed geometry (GGA-PBE).

Structure (POSCAR):
```
Er5Sc2Tl4
1.0
-2.376 1.540 1.842
-5.924 -5.497 -3.045
6.693 -6.508 10.976
Sc Er Tl
2 5 4
Direct
0.904 0.904 0.808
0.096 0.096 0.192
0.500 0.000 0.000
0.199 0.002 0.397
0.199 0.395 0.397
0.801 0.605 0.603
0.801 0.998 0.603
0.000 0.680 0.000
0.000 0.320 0.000
0.305 0.305 0.610
0.695 0.695 0.390
```

## Properties
Space group: Immm, No. 71
Energy relative to the elements in eV/atom: 0.367

=====

(8)
Entry from the Alexandria database: crystalline ErSc2Tl at its relaxed geometry (GGA-PBE).

Structure (POSCAR):
```
ErSc2Tl
1.0
3.410 0.000 0.000
1.705 2.953 0.000
1.705 0.984 10.398
Tl Er Sc
1 1 2
Direct
0.667 0.667 0.000
0.500 0.500 0.500
0.080 0.080 0.760
0.253 0.253 0.240
```

## Properties
Space group: R3m, No. 160
Energy relative to the elements in eV/atom: -0.078